YTc2Pt2 after structural relaxation. Source: the Alexandria database, functional PBE-GGA. Values from VASP.

Properties
magnetic moment: 0.0 μB per formula unit
formation energy: -0.21 eV per atom

Structure (Quantum ESPRESSO input):
```
&SYSTEM
  ibrav = 0, nat = 10, ntyp = 3
/
ATOMIC_SPECIES
Y 88.91 Y.upf
Tc 98.00 Tc.upf
Pt 195.08 Pt.upf
ATOMIC_POSITIONS crystal
Y 0.000 0.000 0.000
Y 0.500 0.500 0.000
Tc 0.389 0.889 0.000
Tc 0.889 0.611 0.000
Tc 0.611 0.111 0.000
Tc 0.111 0.389 0.000
Pt 0.184 0.684 0.500
Pt 0.684 0.816 0.500
Pt 0.816 0.316 0.500
Pt 0.316 0.184 0.500
CELL_PARAMETERS angstrom
-7.760 -0.915 -0.583
0.646 -0.518 -7.792
0.315 -2.805 0.213
```